Record 1
Entry from Alexandria via LeMat-Bulk: LiCa2MgAu after structural relaxation (PBE).

Energy above the most stable polymorph in this dataset, meV/atom: 15

a = 5.719 Å, b = 5.719 Å, c = 4.903 Å
α = 90.00°, β = 90.00°, γ = 90.00°
Fractional coordinates of all 5 atoms:
Au 0.000 0.000 0.000
Li 0.000 0.000 0.500
Ca 0.500 0.000 0.000
Ca 0.000 0.500 0.000
Mg 0.500 0.500 0.500

Record 2
Entry from Alexandria via LeMat-Bulk: LiCa2MgAu after structural relaxation (PBE).

Energy above the most stable polymorph in this dataset, meV/atom: 0

a = 5.742 Å, b = 5.742 Å, c = 5.152 Å
α = 90.00°, β = 90.00°, γ = 90.00°
Fractional coordinates of all 5 atoms:
Au 0.000 0.000 0.000
Li 0.500 0.500 0.500
Mg 0.000 0.000 0.500
Ca 0.000 0.500 0.000
Ca 0.500 0.000 0.000

Record 3
Entry from Alexandria via LeMat-Bulk: LiCa2AuN after structural relaxation (PBE).

Calculated total energy, eV/atom: -4.1844

a = 4.896 Å, b = 4.896 Å, c = 4.063 Å
α = 90.00°, β = 90.00°, γ = 90.00°
Fractional coordinates of all 5 atoms:
Ca 0.000 0.500 0.000
Ca 0.500 0.000 0.000
N 0.000 0.000 0.000
Au 0.500 0.500 0.500
Li 0.000 0.000 0.500